Record 1
DFT (PBE) results for a geometry-optimized Pm3Ag3Hg2 structure.

Calculated values
formation energy from the elements	-0.282	eV/atom
Fermi-level density of states	6.75	states/eV/f.u.
offset from the most stable computed form	1.78	kJ per mole of atoms

Cell: 7.6002 7.6002 4.1094 Å, 90.00 90.00 120.00°
Space group P-62m (No. 189)
Unique sites:
1 Pm 0.0000 0.3719 0.0000 x3
2 Ag 0.0000 0.7731 0.5000 x3
3 Hg 0.3333 0.6667 0.5000 x2



Record 2
DFT (PBE) results for a geometry-optimized K2CoTe structure.

Calculated values
Fermi-level density of states	1.14	states/eV/f.u.
uncorrected formation energy	0.36	eV/atom

Cell: 9.6485 3.3765 9.0215 Å, 90.00 96.02 90.00°
Space group C2/m (No. 12)
Unique sites:
1 K 0.2461 0.0000 0.2362 x4
2 Co 0.0000 0.0000 0.5000 x2
3 Te 0.0000 0.5000 0.0000 x2



Record 3
DFT (PBE) results for a geometry-optimized Th4CuTe3 structure.

Calculated values
Fermi-level density of states	6.67	states/eV/f.u.
uncorrected formation energy	-0.79	eV/atom

Cell: 8.9769 12.5086 4.3549 Å, 90.00 90.00 90.00°
Space group Cmmm (No. 65)
Unique sites:
1 Th 0.0000 0.2344 0.0000 x4
2 Th 0.2175 0.0000 0.5000 x4
3 Cu 0.0000 0.0000 0.0000 x2
4 Te 0.0000 0.5000 0.0000 x2
5 Te 0.2500 0.2500 0.5000 x4



Record 4
DFT (PBE) results for a geometry-optimized NaSnI2 structure.

Calculated values
Fermi-level density of states	0.85	states/eV/f.u.
uncorrected formation energy	-0.56	eV/atom
offset from the most stable computed form	13.19	kJ per mole of atoms

Cell: 4.0619 6.3949 6.3890 Å, 90.00 108.59 90.00°
Space group Pm (No. 6)
Unique sites:
1 Na 0.0000 0.0000 0.0000 x1
2 Sn 0.2961 0.5000 0.5794 x1
3 I 0.0472 0.5000 0.0814 x1
4 I 0.2998 0.0000 0.6011 x1



Record 5
DFT (PBE) results for a geometry-optimized ErThRu4 structure.

Calculated values
formation energy from the elements	-0.313	eV/atom
Fermi-level density of states	4.39	states/eV/f.u.

Cell: 7.6076 7.6076 7.6076 Å, 90.00 90.00 90.00°
Space group F-43m (No. 216)
Unique sites:
1 Er 0.0000 0.0000 0.0000 x4
2 Th 0.2500 0.2500 0.2500 x4
3 Ru 0.1252 0.1252 0.6252 x16



Record 6
DFT (PBE) results for a geometry-optimized CrIn2WI structure.

Calculated values
Fermi-level density of states	2.79	states/eV/f.u.
uncorrected formation energy	1.16	eV/atom

Cell: 5.4530 5.4530 5.1563 Å, 90.00 90.00 90.00°
Space group P4/mmm (No. 123)
Unique sites:
1 Cr 0.0000 0.0000 0.0000 x1
2 In 0.0000 0.5000 0.5000 x2
3 W 0.5000 0.5000 0.5000 x1
4 I 0.5000 0.5000 0.0000 x1



Record 7
DFT (PBE) results for a geometry-optimized BeAg2Pb structure.

Calculated values
formation energy from the elements	0.475	eV/atom
Fermi-level density of states	1.75	states/eV/f.u.
offset from the most stable computed form	25.35	kJ per mole of atoms

Cell: 4.1401 4.1401 18.9451 Å, 90.00 90.00 90.00°
Space group I-42d (No. 122)
Unique sites:
1 Be 0.0000 0.0000 0.0000 x4
2 Ag 0.2190 0.2500 0.1250 x8
3 Pb 0.0000 0.0000 0.5000 x4



Record 8
DFT (PBE) results for a geometry-optimized Mg2ZnW structure.

Calculated values
formation energy from the elements	0.376	eV/atom
Fermi-level density of states	2.27	states/eV/f.u.

Cell: 2.8683 4.1562 5.8430 Å, 90.00 90.00 90.00°
Space group Pmm2 (No. 25)
Unique sites:
1 Mg 0.0000 0.0000 0.0000 x1
2 Mg 0.5000 0.5000 0.2731 x1
3 Zn 0.5000 0.5000 0.7305 x1
4 W 0.0000 0.0000 0.5139 x1



Record 9
DFT (PBE) results for a geometry-optimized La2CuSi structure.

Calculated values
Fermi-level density of states	5.27	states/eV/f.u.
uncorrected formation energy	0.12	eV/atom

Cell: 7.1432 7.1432 7.1432 Å, 90.00 90.00 90.00°
Space group F-43m (No. 216)
Unique sites:
1 La 0.0000 0.0000 0.0000 x4
2 La 0.2500 0.2500 0.2500 x4
3 Cu 0.0000 0.0000 0.5000 x4
4 Si 0.2500 0.2500 0.7500 x4



Record 10
DFT (PBE) results for a geometry-optimized RbMgGeH2 structure.

Calculated values
Fermi-level density of states	2.00	states/eV/f.u.
raw total energy	-11.5	eV/cell

Cell: 4.6420 4.6420 5.0849 Å, 90.00 90.00 90.00°
Space group P4/mmm (No. 123)
Unique sites:
1 Rb 0.0000 0.0000 0.0000 x1
2 Mg 0.5000 0.5000 0.0000 x1
3 Ge 0.5000 0.5000 0.5000 x1
4 H 0.0000 0.5000 0.5000 x2



Record 11
DFT (PBE) results for a geometry-optimized NaLiHg14 structure.

Calculated values
formation energy from the elements	-0.080	eV/atom
Fermi-level density of states	4.11	states/eV/f.u.

Cell: 10.2734 7.6184 10.6839 Å, 90.00 90.00 90.00°
Space group Amm2 (No. 38)
Unique sites:
1 Na 0.0000 0.0000 0.0000 x2
2 Li 0.0000 0.0000 0.4310 x2
3 Hg 0.0000 0.2236 0.7322 x4
4 Hg 0.2288 0.2101 0.5193 x8
5 Hg 0.2471 0.0000 0.2413 x4
6 Hg 0.2556 0.0000 0.8045 x4
7 Hg 0.5000 0.0000 0.4485 x2
8 Hg 0.5000 0.0000 0.9881 x2
9 Hg 0.5000 0.2291 0.7121 x4



Record 12
DFT (PBE) results for a geometry-optimized Pa2TlI8 structure.

Calculated values
Fermi-level density of states	16.95	states/eV/f.u.
uncorrected formation energy	-0.72	eV/atom
offset from the most stable computed form	0.51	kJ per mole of atoms

Cell: 10.6753 10.6753 6.2222 Å, 90.00 90.00 120.00°
Space group P-3 (No. 147)
Unique sites:
1 Pa 0.3333 0.6667 0.2467 x2
2 Tl 0.0000 0.0000 0.0000 x1
3 I 0.1721 0.3461 0.2575 x6
4 I 0.3333 0.6667 0.7494 x2



Record 13
DFT (PBE) results for a geometry-optimized PmPuAg structure.

Calculated values
formation energy from the elements	0.058	eV/atom
Fermi-level density of states	10.17	states/eV/f.u.

Cell: 3.6174 3.6174 12.6051 Å, 90.00 90.00 90.00°
Space group I4mm (No. 107)
Unique sites:
1 Pm 0.0000 0.0000 0.0000 x2
2 Pu 0.0000 0.0000 0.6984 x2
3 Ag 0.0000 0.0000 0.3510 x2



Record 14
DFT (PBE) results for a geometry-optimized Tc2AsAu structure.

Calculated values
formation energy from the elements	0.443	eV/atom
Fermi-level density of states	4.32	states/eV/f.u.

Cell: 3.0200 4.8756 8.7221 Å, 90.00 90.00 90.00°
Space group Cmmm (No. 65)
Unique sites:
1 Tc 0.0000 0.0000 0.2225 x4
2 As 0.0000 0.5000 0.0000 x2
3 Au 0.0000 0.5000 0.5000 x2



Record 15
DFT (PBE) results for a geometry-optimized SmThRuBr structure.

Calculated values
Fermi-level density of states	0.68	states/eV/f.u.
uncorrected formation energy	-0.85	eV/atom

Cell: 4.0729 4.0729 23.9273 Å, 90.00 90.00 120.00°
Space group R3m (No. 160, hexagonal axes)
Unique sites:
1 Sm 0.0000 0.0000 0.0000 x3
2 Th 0.0000 0.0000 0.2070 x3
3 Ru 0.0000 0.0000 0.5974 x3
4 Br 0.0000 0.0000 0.7666 x3



Record 16
DFT (PBE) results for a geometry-optimized Be2TlZn structure.

Calculated values
formation energy from the elements	0.300	eV/atom
Fermi-level density of states	1.10	states/eV/f.u.
offset from the most stable computed form	0.78	kJ per mole of atoms

Cell: 5.2904 3.9500 6.8431 Å, 90.00 90.00 90.00°
Space group Amm2 (No. 38)
Unique sites:
1 Be 0.0000 0.0000 0.0000 x2
2 Be 0.0000 0.0000 0.3333 x2
3 Tl 0.5000 0.0000 0.3344 x2
4 Zn 0.0000 0.0000 0.6667 x2



Record 17
DFT (PBE) results for a geometry-optimized TbY5Sc2 structure.

Calculated values
formation energy from the elements	0.136	eV/atom
Fermi-level density of states	12.82	states/eV/f.u.
offset from the most stable computed form	10.39	kJ per mole of atoms

Cell: 5.3106 11.5080 16.0851 Å, 90.00 90.00 90.00°
Space group Cmcm (No. 63)
Unique sites:
1 Tb 0.0000 0.2436 0.2500 x4
2 Y 0.0000 0.0533 0.0988 x8
3 Y 0.0000 0.3552 0.0393 x8
4 Y 0.0000 0.4769 0.7500 x4
5 Sc 0.0000 0.2301 0.6463 x8



Record 18
DFT (PBE) results for a geometry-optimized DyErGaPd structure.

Calculated values
formation energy from the elements	-0.718	eV/atom
Fermi-level density of states	3.32	states/eV/f.u.
offset from the most stable computed form	3.41	kJ per mole of atoms

Cell: 7.0694 7.0694 7.0694 Å, 90.00 90.00 90.00°
Space group F-43m (No. 216)
Unique sites:
1 Dy 0.0000 0.0000 0.0000 x4
2 Er 0.0000 0.0000 0.5000 x4
3 Ga 0.2500 0.2500 0.2500 x4
4 Pd 0.2500 0.2500 0.7500 x4



Record 19
DFT (PBE) results for a geometry-optimized YErCd3 structure.

Calculated values
formation energy from the elements	-0.299	eV/atom
Fermi-level density of states	4.61	states/eV/f.u.

Cell: 3.4869 29.2712 4.9449 Å, 90.00 90.00 90.00°
Space group Cmcm (No. 63)
Unique sites:
1 Y 0.0000 0.0752 0.2500 x4
2 Er 0.0000 0.2155 0.7500 x4
3 Cd 0.0000 0.3242 0.7500 x4
4 Cd 0.0000 0.3785 0.2500 x4
5 Cd 0.0000 0.4762 0.2500 x4



Record 20
DFT (PBE) results for a geometry-optimized Rb2Tl12Cd7 structure.

Calculated values
formation energy from the elements	0.013	eV/atom
Fermi-level density of states	9.44	states/eV/f.u.

Cell: 14.2203 14.2203 3.6571 Å, 90.00 90.00 120.00°
Space group P-3 (No. 147)
Unique sites:
1 Rb 0.3333 0.6667 0.2479 x2
2 Tl 0.0837 0.6236 0.7487 x6
3 Tl 0.0859 0.8366 0.2431 x6
4 Cd 0.0000 0.0000 0.5000 x1
5 Cd 0.1207 0.4153 0.7500 x6



Record 21
DFT (PBE) results for a geometry-optimized TbPrNiPd structure.

Calculated values
formation energy from the elements	-0.581	eV/atom
Fermi-level density of states	2.42	states/eV/f.u.
offset from the most stable computed form	0.00	kJ per mole of atoms

Cell: 4.5011 3.8653 10.4735 Å, 90.00 90.00 90.00°
Space group Amm2 (No. 38)
Unique sites:
1 Tb 0.0000 0.0000 0.0000 x2
2 Pr 0.5000 0.0000 0.2779 x2
3 Ni 0.5000 0.0000 0.5544 x2
4 Pd 0.0000 0.0000 0.7117 x2



Record 22
DFT (PBE) results for a geometry-optimized LiPrNdHo structure.

Calculated values
formation energy from the elements	0.154	eV/atom
Fermi-level density of states	5.13	states/eV/f.u.

Cell: 7.9248 7.9248 7.9248 Å, 90.00 90.00 90.00°
Space group F-43m (No. 216)
Unique sites:
1 Li 0.0000 0.0000 0.0000 x4
2 Pr 0.2500 0.2500 0.7500 x4
3 Nd 0.2500 0.2500 0.2500 x4
4 Ho 0.0000 0.0000 0.5000 x4



Record 23
DFT (PBE) results for a geometry-optimized Sr2ScIr structure.

Calculated values
formation energy from the elements	-0.218	eV/atom
Fermi-level density of states	1.72	states/eV/f.u.
offset from the most stable computed form	5.03	kJ per mole of atoms

Cell: 3.4622 4.2378 17.7310 Å, 90.00 90.00 90.00°
Space group Immm (No. 71)
Unique sites:
1 Sr 0.0000 0.0000 0.1520 x4
2 Sc 0.0000 0.5000 0.0000 x2
3 Ir 0.0000 0.5000 0.5000 x2



Record 24
DFT (PBE) results for a geometry-optimized Pu3MgCu8 structure.

Calculated values
formation energy from the elements	-0.046	eV/atom
Fermi-level density of states	28.96	states/eV/f.u.

Cell: 5.1722 5.1722 8.4773 Å, 90.00 90.00 120.00°
Space group P3m1 (No. 156)
Unique sites:
1 Pu 0.0000 0.0000 0.0000 x1
2 Pu 0.0000 0.0000 0.3835 x1
3 Pu 0.3333 0.6667 0.8877 x1
4 Mg 0.3333 0.6667 0.5120 x1
5 Cu 0.0004 0.5002 0.2018 x3
6 Cu 0.3352 0.1676 0.6884 x3
7 Cu 0.6667 0.3333 0.4480 x1
8 Cu 0.6667 0.3333 0.9487 x1



Record 25
DFT (PBE) results for a geometry-optimized SrCdSnAu2 structure.

Calculated values
formation energy from the elements	-0.519	eV/atom
Fermi-level density of states	2.45	states/eV/f.u.

Cell: 4.5193 4.5193 12.4893 Å, 90.00 90.00 90.00°
Space group I-4m2 (No. 119)
Unique sites:
1 Sr 0.0000 0.0000 0.0000 x2
2 Cd 0.0000 0.5000 0.7500 x2
3 Sn 0.0000 0.5000 0.2500 x2
4 Au 0.0000 0.0000 0.3907 x4